(1)
PaSn3Te6: optimized geometry, PBE.

```
20
Lattice="-0.786 -3.437 2.353 -0.304 -7.126 -10.508 12.551 -0.032 4.147" Properties=species:S:1:pos:R:3 pbc="T T T"
Pa 8.004 -2.945 4.101
Pa 3.455 -7.650 -8.109
Sn 9.965 -5.783 0.611
Sn 1.495 -4.812 -4.619
Sn 5.242 -7.242 -3.098
Sn 6.218 -3.353 -0.910
Sn 0.610 -3.589 0.690
Sn 10.850 -7.006 -4.697
Te 7.227 -6.129 -0.809
Te 4.232 -4.466 -3.199
Te 0.770 -9.071 -7.263
Te 10.690 -1.524 3.255
Te 0.196 -5.337 -2.002
Te 11.263 -5.258 -2.006
Te 2.961 -8.048 -5.037
Te 8.499 -2.547 1.029
Te 5.119 -3.307 2.607
Te 6.340 -7.288 -6.615
Te 8.453 -8.439 -3.773
Te 3.007 -2.156 -0.235
```

Summary:
Total DFT energy (no corrections) (eV/atom): -4.455
Space group: P2_1/m
Raw formation energy (meV/atom): -420

=====

(2)
Dy12ErCo6: optimized geometry, PBE.

```
19
Lattice="7.962 0.000 -2.815 -3.981 6.896 -2.815 0.000 0.000 8.445" Properties=species:S:1:pos:R:3 pbc="T T T"
Dy 2.001 0.791 5.615
Dy 0.457 3.466 -0.646
Dy 3.525 3.429 3.461
Dy 1.980 6.105 -2.800
Dy -2.296 5.558 0.015
Dy 3.230 1.338 0.646
Dy 0.751 5.558 2.170
Dy 6.277 1.338 2.800
Dy 5.189 2.128 -2.170
Dy 0.316 2.128 2.830
Dy 3.665 4.767 -0.015
Dy -1.208 4.767 4.985
Er 0.000 0.000 0.000
Co 1.086 3.448 4.991
Co 2.895 3.448 -2.176
Co 0.452 6.113 -0.639
Co 3.529 0.783 3.455
Co 5.520 2.665 0.639
Co -1.538 4.231 2.176
```

Summary:
Total DFT energy (no corrections) (eV/atom): -5.526
Space group: Im-3

=====

- total DFT energy (no corrections) of number 2 (Dy12ErCo6)?
  -5.526 eV/atom

=====

- Which formula does entry 1 have?
  PaSn3Te6

=====

- What is the total DFT energy (no corrections) in the first record?
  -4.455 eV/atom